A relaxed structure of BaZr2Sb. Source: Alexandria via LeMat-Bulk, functional PBE-GGA.

a b c (Å): 3.8053 3.8053 7.8555
angles (deg): 90.00 90.00 90.00
Atoms (fractional coordinates):
Ba: 0.0000 0.0000 0.0000
Zr: 0.5000 0.5000 0.3190
Zr: 0.5000 0.5000 0.6810
Sb: 0.0000 0.0000 0.5000

Values from the calculation:
Its uncorrected formation energy is -43 meV per atom. As for the size of the total moment: 0.00 μB per formula unit. The crystal system is tetragonal. Its space group is P4/mmm.

***

A relaxed structure of KMo3C. Source: Alexandria via LeMat-Bulk, functional PBE-GGA.

a b c (Å): 4.4668 4.4668 4.4668
angles (deg): 90.00 90.00 90.00
Atoms (fractional coordinates):
K: 0.0000 0.0000 0.0000
Mo: 0.0000 0.0000 0.5000
Mo: 0.0000 0.5000 0.0000
Mo: 0.5000 0.0000 0.0000
C: 0.5000 0.5000 0.5000

Values from the calculation:
The value obtained for the energy above the lowest structure with this stoichiometry is 3123.9 meV/atom. As for the size of the total moment: 0.00 μB per formula unit. The crystal system is cubic. The energy of formation is 4299 meV/atom. Its space group is Pm-3m.

***

A relaxed structure of Cd2RuBr. Source: Alexandria via LeMat-Bulk, functional PBE-GGA.

a b c (Å): 9.2937 9.2937 4.8538
angles (deg): 90.00 90.00 90.00
Atoms (fractional coordinates):
Cd: 0.1458 0.7500 0.1250
Cd: 0.2500 0.1458 0.8750
Cd: 0.2500 0.3542 0.3750
Cd: 0.3542 0.7500 0.6250
Cd: 0.6458 0.2500 0.6250
Cd: 0.7500 0.6458 0.3750
Cd: 0.7500 0.8542 0.8750
Cd: 0.8542 0.2500 0.1250
Ru: 0.0000 0.0000 0.0000
Ru: 0.0000 0.5000 0.2500
Ru: 0.5000 0.0000 0.7500
Ru: 0.5000 0.5000 0.5000
Br: 0.0000 0.0000 0.5000
Br: 0.0000 0.5000 0.7500
Br: 0.5000 0.0000 0.2500
Br: 0.5000 0.5000 0.0000

Values from the calculation:
Its uncorrected formation energy is 456 meV per atom. The value obtained for the energy above the lowest structure with this stoichiometry is 289.4 meV/atom. As for the size of the total moment: 0.99 μB per formula unit. The crystal system is tetragonal. Its space group is I-42d.

***

A relaxed structure of CeSmP2. Source: Alexandria via LeMat-Bulk, functional PBE-GGA.

a b c (Å): 4.0264 4.0264 21.2320
angles (deg): 90.00 90.00 120.00
Atoms (fractional coordinates):
Ce: 0.0000 0.0000 0.0000
Ce: 0.3333 0.6667 0.6667
Ce: 0.6667 0.3333 0.3333
Sm: 0.0000 0.0000 0.8277
Sm: 0.3333 0.6667 0.4944
Sm: 0.6667 0.3333 0.1610
P: 0.0000 0.0000 0.2471
P: 0.0000 0.0000 0.4152
P: 0.3333 0.6667 0.0818
P: 0.3333 0.6667 0.9138
P: 0.6667 0.3333 0.5804
P: 0.6667 0.3333 0.7485

Values from the calculation:
The value obtained for the energy above the lowest structure with this stoichiometry is 181.7 meV/atom. As for the size of the total moment: 0.82 μB per formula unit. The crystal system is trigonal. The energy of formation is -1362 meV/atom. Its space group is R3m.

***

A relaxed structure of RePdSe2. Source: Alexandria via LeMat-Bulk, functional PBE-GGA.

a b c (Å): 6.3722 6.3722 6.3722
angles (deg): 90.00 90.00 90.00
Atoms (fractional coordinates):
Re: 0.0000 0.0000 0.0000
Re: 0.0000 0.5000 0.5000
Re: 0.5000 0.0000 0.5000
Re: 0.5000 0.5000 0.0000
Pd: 0.0000 0.0000 0.5000
Pd: 0.0000 0.5000 0.0000
Pd: 0.5000 0.0000 0.0000
Pd: 0.5000 0.5000 0.5000
Se: 0.2500 0.2500 0.2500
Se: 0.2500 0.2500 0.7500
Se: 0.2500 0.7500 0.2500
Se: 0.2500 0.7500 0.7500
Se: 0.7500 0.2500 0.2500
Se: 0.7500 0.2500 0.7500
Se: 0.7500 0.7500 0.2500
Se: 0.7500 0.7500 0.7500

Values from the calculation:
Its uncorrected formation energy is 394 meV per atom. The value obtained for the energy above the lowest structure with this stoichiometry is 320.5 meV/atom. As for the size of the total moment: 0.00 μB per formula unit. The crystal system is cubic. Its space group is Fm-3m.

***

A relaxed structure of Ac2CeTmTe5. Source: Alexandria via LeMat-Bulk, functional PBE-GGA.

a b c (Å): 5.4463 5.4463 11.8954
angles (deg): 90.00 90.00 90.00
Atoms (fractional coordinates):
Ac: 0.0000 0.0000 0.2037
Ac: 0.0000 0.0000 0.7963
Ce: 0.5000 0.5000 0.5000
Tm: 0.5000 0.5000 0.0000
Te: 0.0000 0.0000 0.5000
Te: 0.0000 0.5000 0.0000
Te: 0.5000 0.0000 0.0000
Te: 0.5000 0.5000 0.2489
Te: 0.5000 0.5000 0.7511

Values from the calculation:
Its uncorrected formation energy is -1038 meV per atom. As for the size of the total moment: 1.73 μB per formula unit. The crystal system is tetragonal. Its space group is P4/mmm.

***

A relaxed structure of NpNi2Ge4Ir. Source: Alexandria via LeMat-Bulk, functional PBE-GGA.

a b c (Å): 8.9849 8.9849 8.9849
angles (deg): 26.67 26.67 26.67
Atoms (fractional coordinates):
Np: 0.0000 0.0000 0.0000
Ni: 0.2381 0.2381 0.2381
Ni: 0.7619 0.7619 0.7619
Ge: 0.1246 0.1246 0.1246
Ge: 0.3965 0.3965 0.3965
Ge: 0.6035 0.6035 0.6035
Ge: 0.8754 0.8754 0.8754
Ir: 0.5000 0.5000 0.5000

Values from the calculation:
As for the size of the total moment: 3.93 μB per formula unit. The crystal system is trigonal. The energy of formation is -130 meV/atom. Its space group is R-3m.

***

A relaxed structure of LuPaAgHg. Source: Alexandria via LeMat-Bulk, functional PBE-GGA.

a b c (Å): 7.3140 7.3140 7.3140
angles (deg): 90.00 90.00 90.00
Atoms (fractional coordinates):
Lu: 0.0000 0.0000 0.0000
Lu: 0.0000 0.5000 0.5000
Lu: 0.5000 0.0000 0.5000
Lu: 0.5000 0.5000 0.0000
Pa: 0.0000 0.0000 0.5000
Pa: 0.0000 0.5000 0.0000
Pa: 0.5000 0.0000 0.0000
Pa: 0.5000 0.5000 0.5000
Ag: 0.2500 0.2500 0.2500
Ag: 0.2500 0.7500 0.7500
Ag: 0.7500 0.2500 0.7500
Ag: 0.7500 0.7500 0.2500
Hg: 0.2500 0.2500 0.7500
Hg: 0.2500 0.7500 0.2500
Hg: 0.7500 0.2500 0.2500
Hg: 0.7500 0.7500 0.7500

Values from the calculation:
As for the size of the total moment: 1.49 μB per formula unit. The crystal system is cubic. The energy of formation is 40 meV/atom. Its space group is F-43m.

***

A relaxed structure of TiSn2GeBi. Source: Alexandria via LeMat-Bulk, functional PBE-GGA.

a b c (Å): 5.3533 5.3533 4.9848
angles (deg): 90.00 90.00 90.00
Atoms (fractional coordinates):
Ti: 0.0000 0.0000 0.0000
Sn: 0.0000 0.5000 0.0000
Sn: 0.5000 0.0000 0.0000
Ge: 0.0000 0.0000 0.5000
Bi: 0.5000 0.5000 0.5000

Values from the calculation:
As for the size of the total moment: 0.00 μB per formula unit. The crystal system is tetragonal. The energy of formation is 294 meV/atom. Its space group is P4/mmm.

***

A relaxed structure of HfThPd2. Source: Alexandria via LeMat-Bulk, functional PBE-GGA.

a b c (Å): 4.6453 4.6453 14.3071
angles (deg): 90.00 90.00 120.00
Atoms (fractional coordinates):
Hf: 0.0000 0.0000 0.0000
Hf: 0.3333 0.6667 0.6667
Hf: 0.6667 0.3333 0.3333
Th: 0.0000 0.0000 0.5000
Th: 0.3333 0.6667 0.1667
Th: 0.6667 0.3333 0.8333
Pd: 0.0000 0.0000 0.2861
Pd: 0.0000 0.0000 0.7139
Pd: 0.3333 0.6667 0.3806
Pd: 0.3333 0.6667 0.9528
Pd: 0.6667 0.3333 0.0472
Pd: 0.6667 0.3333 0.6194

Values from the calculation:
The value obtained for the energy above the lowest structure with this stoichiometry is 7.5 meV/atom. As for the size of the total moment: 0.00 μB per formula unit. The crystal system is trigonal. The energy of formation is -643 meV/atom. Its space group is R-3m.

***

A relaxed structure of La7Tb2Nd2. Source: Alexandria via LeMat-Bulk, functional PBE-GGA.

a b c (Å): 8.2406 8.2406 6.2493
angles (deg): 105.01 105.01 90.02
Atoms (fractional coordinates):
La: 0.0000 0.0000 0.0000
La: 0.0466 0.5842 0.8198
La: 0.4158 0.9534 0.1802
La: 0.4249 0.4249 0.1980
La: 0.5751 0.5751 0.8020
La: 0.5842 0.0466 0.8198
La: 0.9534 0.4158 0.1802
Tb: 0.2141 0.7859 0.5000
Tb: 0.7859 0.2141 0.5000
Nd: 0.2272 0.2272 0.5939
Nd: 0.7728 0.7728 0.4061

Values from the calculation:
As for the size of the total moment: 0.00 μB per formula unit. The crystal system is monoclinic. The energy of formation is 111 meV/atom. Its space group is C2/m.

***

A relaxed structure of Zr3As. Source: Alexandria via LeMat-Bulk, functional PBE-GGA.

a b c (Å): 4.1847 4.1847 18.7771
angles (deg): 90.00 90.00 90.00
Atoms (fractional coordinates):
Zr: 0.0000 0.0000 0.1240
Zr: 0.0000 0.0000 0.8760
Zr: 0.0000 0.5000 0.0000
Zr: 0.0000 0.5000 0.2500
Zr: 0.0000 0.5000 0.5000
Zr: 0.0000 0.5000 0.7500
Zr: 0.5000 0.0000 0.0000
Zr: 0.5000 0.0000 0.2500
Zr: 0.5000 0.0000 0.5000
Zr: 0.5000 0.0000 0.7500
Zr: 0.5000 0.5000 0.3760
Zr: 0.5000 0.5000 0.6240
As: 0.0000 0.0000 0.3809
As: 0.0000 0.0000 0.6191
As: 0.5000 0.5000 0.1191
As: 0.5000 0.5000 0.8809

Values from the calculation:
As for the size of the total moment: 0.00 μB per formula unit. The crystal system is tetragonal. The energy of formation is -396 meV/atom. Its space group is I4/mmm.